1.
A relaxed LuGaPb crystal, computed with PBE.

Cell: 4.4249 4.4249 4.4623 Å, 90.00 90.00 120.00°
With the nearest neighbours (Å) after each atom.
Space group P3m1 (No. 156)
Asymmetric unit:
Lu  0.0000  0.0000  0.0000 (multiplicity 1)  3 Ga 2.88, 3 Pb 3.18
Ga  0.3333  0.6667  0.2966 (multiplicity 1)  3 Pb 2.84, 3 Lu 2.88
Pb  0.6667  0.3333  0.5768 (multiplicity 1)  3 Ga 2.84, 3 Lu 3.18

Calculated values
Its crystal system is trigonal. As for the total magnetization: 0.000 μB per atom. The value obtained for the volume is 25.22 Å³/atom. The formation energy comes out at -0.236 eV per atom. The energy above the most stable polymorph in this dataset comes out at 0.000 kcal/mol of atoms.

2.
A relaxed GdTmP crystal, computed with PBE.

Cell: 3.8669 3.8669 6.4046 Å, 90.00 90.00 120.00°
With the nearest neighbours (Å) after each atom.
Space group P3m1 (No. 156)
Asymmetric unit:
Gd  0.0000  0.0000  0.0000 (multiplicity 1)  3 P 2.78
Tm  0.3333  0.6667  0.5017 (multiplicity 1)  3 P 2.72
P  0.6667  0.3333  0.2581 (multiplicity 1)  3 Tm 2.72, 3 Gd 2.78

Calculated values
Its crystal system is trigonal. As for the total magnetization: 2.482 μB per atom. The value obtained for the volume is 27.65 Å³/atom. The formation energy comes out at -0.965 eV per atom.

3.
A relaxed NpSnSb2 crystal, computed with PBE.

Cell: 4.0908 4.0908 6.3393 Å, 90.00 90.00 90.00°
With the nearest neighbours (Å) after each atom.
Space group P4/mmm (No. 123)
Asymmetric unit:
Np  0.0000  0.0000  0.0000 (multiplicity 1)  2 Sn 3.17, 8 Sb 3.27
Sn  0.0000  0.0000  0.5000 (multiplicity 1)  2 Np 3.17, 8 Sb 3.32
Sb  0.5000  0.5000  0.2422 (multiplicity 2)  2 Sb 3.07-3.27, 4 Np 3.27, 4 Sn 3.32

Calculated values
Its crystal system is tetragonal. As for the total magnetization: 1.053 μB per atom. The value obtained for the volume is 26.52 Å³/atom. Its energy relative to the elements, uncorrected is -0.1265 eV/atom. The energy above the most stable polymorph in this dataset comes out at 0.500 kcal/mol of atoms.

4.
A relaxed AcPmCoBr crystal, computed with PBE.

Cell: 7.0622 4.0762 8.4265 Å, 90.00 106.13 90.00°
With the nearest neighbours (Å) after each atom.
Space group Cm (No. 8)
Asymmetric unit:
Ac  0.0000  0.0000  0.0000 (multiplicity 2)  3 Co 2.85
Pm  0.2062  0.0000  0.6200 (multiplicity 2)  3 Co 2.78
Co  0.1004  0.5000  0.8020 (multiplicity 2)  3 Pm 2.78, 3 Ac 2.85
Br  0.2793  0.5000  0.3384 (multiplicity 2)  3 Pm 3.28, 3 Ac 3.61

Calculated values
Its crystal system is monoclinic. As for the total magnetization: 0.000 μB per atom. The value obtained for the volume is 29.13 Å³/atom. Its energy relative to the elements, uncorrected is -0.7195 eV/atom.

5.
A relaxed TaAs crystal, computed with PBE.

Cell: 3.2983 3.2983 11.3054 Å, 90.00 90.00 120.00°
With the nearest neighbours (Å) after each atom.
Space group R-3m (No. 166, hexagonal axes)
Asymmetric unit:
Ta  0.0000  0.0000  0.0000 (multiplicity 3)  6 As 2.68
As  0.0000  0.0000  0.5000 (multiplicity 3)  6 Ta 2.68

Calculated values
Its crystal system is trigonal. As for the total magnetization: 0.000 μB per atom. The value obtained for the volume is 17.75 Å³/atom. The formation energy comes out at -0.007 eV per atom.

6.
A relaxed ScBe2 crystal, computed with PBE.

Cell: 3.5981 3.5981 13.0290 Å, 90.00 90.00 90.00°
With the nearest neighbours (Å) after each atom.
Space group I4_1/amd (No. 141, origin choice 2)
Asymmetric unit:
Sc  0.0000  0.2500  0.3750 (multiplicity 4)  12 Be 2.76-2.83
Be  0.0000  0.2500  0.7923 (multiplicity 8)  3 Be 2.11-2.15

Calculated values
Its crystal system is tetragonal. As for the total magnetization: 0.000 μB per atom. The value obtained for the volume is 14.06 Å³/atom. The formation energy comes out at 0.007 eV per atom.